No. 1
A relaxed structure of Ac2YTe3Rh4, computed with GGA-PBE.

CIF file:
```
data_Ac2YTe3Rh4
_chemical_formula_sum 'Ac2 Y1 Te3 Rh4'
_cell_length_a 4.551
_cell_length_b 4.551
_cell_length_c 11.365
_cell_angle_alpha 90.00
_cell_angle_beta 90.00
_cell_angle_gamma 90.00
_space_group_name_H-M_alt 'P -4 m 2'
_space_group_IT_number 115
loop_
_space_group_symop_operation_xyz
'x,y,z'
'y,-x,-z'
'-x,-y,z'
'-y,x,-z'
'-x,y,z'
'-y,-x,-z'
'x,-y,z'
'y,x,-z'
loop_
_atom_site_label
_atom_site_fract_x
_atom_site_fract_y
_atom_site_fract_z
Ac1 0.000 0.500 0.223
Y1 0.000 0.000 0.500
Te1 0.000 0.500 0.871
Te2 0.500 0.500 0.500
Rh1 0.000 0.000 0.000
Rh2 0.000 0.500 0.640
Rh3 0.500 0.500 0.000
```

No. 2
A relaxed structure of Ac8Te4AuSe3, computed with GGA-PBE.

CIF file:
```
data_Ac8Te4AuSe3
_chemical_formula_sum 'Ac16 Te8 Au2 Se6'
_cell_length_a 15.885
_cell_length_b 9.170
_cell_length_c 9.353
_cell_angle_alpha 90.00
_cell_angle_beta 124.49
_cell_angle_gamma 90.00
_space_group_name_H-M_alt 'C 1 2/m 1'
_space_group_IT_number 12
loop_
_space_group_symop_operation_xyz
'x,y,z'
'-x,-y,-z'
'-x,y,-z'
'x,-y,z'
'x+1/2,y+1/2,z'
'-x+1/2,-y+1/2,-z'
'-x+1/2,y+1/2,-z'
'x+1/2,-y+1/2,z'
loop_
_atom_site_label
_atom_site_fract_x
_atom_site_fract_y
_atom_site_fract_z
Ac1 0.006 0.247 0.272
Ac2 0.242 0.000 0.728
Ac3 0.242 0.500 0.727
Te1 0.000 0.000 0.000
Te2 0.000 0.500 0.000
Te3 0.250 0.250 0.000
Au1 0.000 0.000 0.500
Se1 0.000 0.500 0.500
Se2 0.250 0.250 0.500
```

No. 3
# CsSb2TeI, optimized geometry, DFT GGA-PBE
data_CsSb2TeI
_chemical_formula_sum 'Cs1 Sb2 Te1 I1'
_cell_length_a 5.714
_cell_length_b 5.714
_cell_length_c 8.402
_cell_angle_alpha 90.00
_cell_angle_beta 90.00
_cell_angle_gamma 90.00
_space_group_name_H-M_alt 'P 4/m m m'
_space_group_IT_number 123
_space_group_name_Hall '-P 4 2'
loop_
_atom_site_label
_atom_site_fract_x
_atom_site_fract_y
_atom_site_fract_z
Cs1 0.000 0.000 0.000
Sb1 0.000 0.500 0.500
Te1 0.500 0.500 0.500
I1 0.500 0.500 0.000
# energy above the most stable polymorph in this dataset = 0.00 kJ per mole of atoms

Quick rundown of formation energy (no corrections), same order as above: -0.860 -1.565 0.026 eV per atom